1.
Computed, not measured: SrGdIn2Pd4 after structural relaxation at the PBE level of DFT.

- magnetic moment (μB per formula unit) = 0.00
- energy (eV per atom) = -4.79

Lattice parameters (Å, degrees): 4.6375 4.6375 9.3276 90.00 90.00 120.00
Space group P-6m2 (No. 187)
Inequivalent atoms, fractional coordinates:
Sr1 0.0000 0.0000 0.0000 (multiplicity 1)
Gd1 0.3333 0.6667 0.5000 (multiplicity 1)
In1 0.6667 0.3333 0.2620 (multiplicity 2)
Pd1 0.0000 0.0000 0.3433 (multiplicity 2)
Pd2 0.3333 0.6667 0.1902 (multiplicity 2)



2.
Computed, not measured: Y4FeSiC2 after structural relaxation at the PBE level of DFT.

- magnetic moment (μB per formula unit) = 2.22
- energy (eV per atom) = -7.35

Lattice parameters (Å, degrees): 3.5765 3.5765 14.5701 90.00 90.00 120.00
Space group P-6m2 (No. 187)
Inequivalent atoms, fractional coordinates:
Y1 0.0000 0.0000 0.1544 (multiplicity 2)
Y2 0.3333 0.6667 0.3426 (multiplicity 2)
Fe1 0.3333 0.6667 0.0000 (multiplicity 1)
Si1 0.0000 0.0000 0.5000 (multiplicity 1)
C1 0.6667 0.3333 0.2469 (multiplicity 2)



3.
Computed, not measured: USiAg after structural relaxation at the PBE level of DFT.

- magnetic moment (μB per formula unit) = 2.10
- energy (eV per atom) = -5.81

Lattice parameters (Å, degrees): 6.676 6.676 6.676 90.00 90.00 90.00
Space group F-43m (No. 216)
Inequivalent atoms, fractional coordinates:
U1 0.000 0.000 0.000 (multiplicity 4)
Si1 0.250 0.250 0.250 (multiplicity 4)
Ag1 0.250 0.250 0.750 (multiplicity 4)



4.
Computed, not measured: LiLu2 after structural relaxation at the PBE level of DFT.

- magnetic moment (μB per formula unit) = 0.97
- energy (eV per atom) = -1.71

Lattice parameters (Å, degrees): 11.719 11.719 11.719 90.00 90.00 90.00
Space group Fd-3m (No. 227, origin choice 2)
Inequivalent atoms, fractional coordinates:
Li1 0.125 0.125 0.125 (multiplicity 8)
Lu1 0.000 0.000 0.000 (multiplicity 16)